4
Lattice="0.000 3.455 3.455 3.455 0.000 3.455 3.455 3.455 0.000" Properties=species:S:1:pos:R:3 comment="NdTlPdRh GGA-PBE optimized geometry" space_group="F-43m (216)" delta_e_f_ev_per_atom=-0.478 e_tot_ev_per_atom=-5.3980 crystal_system=cubic pbc="T T T"
Nd 0.000 0.000 0.000
Tl 3.455 3.455 3.455
Pd 1.727 1.727 1.727
Rh 5.182 5.182 5.182